DFT (PBE) results for an optimized crystal structure of CoSeBr2Cl.

The uncorrected energy is -2.876 eV per atom.

The structure belongs to space group P4/mmm (No. 123); the cell edges are 4.986, 4.986 and 4.547 Å and the angles 90.00°, 90.00° and 90.00°. The inequivalent atoms are Co at (0.000, 0.000, 0.000), Se at (0.000, 0.000, 0.500), Br at (0.000, 0.500, 0.000) and Cl at (0.500, 0.500, 0.500).

DFT (PBE) results for an optimized crystal structure of AsPb6Se3Br2.

The uncorrected energy is -3.867 eV per atom.

The structure belongs to space group C2/m (No. 12); the cell edges are 7.847, 13.367 and 7.623 Å and the angles 90.00°, 109.50° and 90.00°. The inequivalent atoms are As at (0.000, 0.000, 0.000), Pb at (0.219, 0.000, 0.740), Pb at (0.238, 0.151, 0.260), Se at (0.000, 0.166, 0.500), Se at (0.000, 0.500, 0.500) and Br at (0.000, 0.333, 0.000).